# 1
The following is a DFT calculation (PBE-GGA) of crystalline Ac6Ir3O at its relaxed geometry.

Total magnetic moment = 0.00 μB/cell
Formation energy without anion corrections = -0.9652 eV per atom

a = 7.1109 Å, b = 7.7381 Å, c = 12.6952 Å
α = 90.00°, β = 120.35°, γ = 90.00°
Space group P2_1/c (No. 14)
Unique sites:
Ac  0.0949  0.0543  0.2514 x4
Ac  0.2762  0.6736  0.0810 x4
Ac  0.3978  0.1912  0.0656 x4
Ir  0.0000  0.0000  0.0000 x2
Ir  0.3196  0.1040  0.7695 x4
O  0.5000  0.0000  0.5000 x2


# 2
The following is a DFT calculation (PBE-GGA) of crystalline Ac12Ir5O at its relaxed geometry.

Total magnetic moment = 0.00 μB/cell
Formation energy without anion corrections = -0.7415 eV per atom

a = 7.4741 Å, b = 12.9881 Å, c = 14.0572 Å
α = 90.00°, β = 100.23°, γ = 90.00°
Space group C2/m (No. 12)
Unique sites:
Ac  0.1242  0.1616  0.3873 x8
Ac  0.1464  0.5000  0.3896 x4
Ac  0.2014  0.0000  0.1164 x4
Ac  0.2067  0.3352  0.1157 x8
Ir  0.0000  0.1672  0.0000 x4
Ir  0.0000  0.3335  0.5000 x4
Ir  0.0000  0.5000  0.0000 x2
O  0.0000  0.0000  0.5000 x2